No. 1
# PBE TbSmNi2B2C2, relaxed
data_TbSmNi2B2C2
_space_group_name_H-M_alt 'P 4 m m'
_space_group_IT_number 99
_cell_length_a 3.646
_cell_length_b 3.646
_cell_length_c 7.546
_cell_angle_alpha 90.00
_cell_angle_beta 90.00
_cell_angle_gamma 90.00
loop_
_space_group_symop_operation_xyz
'x,y,z'
'-y,x,z'
'-x,-y,z'
'y,-x,z'
'-x,y,z'
'y,x,z'
'x,-y,z'
'-y,-x,z'
loop_
_atom_site_label
_atom_site_type_symbol
_atom_site_fract_x
_atom_site_fract_y
_atom_site_fract_z
_atom_site_occupancy
Tb1 Tb 0.000 0.000 0.000 1
Sm1 Sm 0.500 0.500 0.338 1
Ni1 Ni 0.000 0.500 0.669 1
B1 B 0.000 0.000 0.525 1
B2 B 0.500 0.500 0.810 1
C1 C 0.000 0.000 0.327 1
C2 C 0.500 0.500 0.008 1
# Magnetic moment = 0.00 μB per atom
# Calculated volume = 12.5 A^3/atom
# Final energy = -0.5150 Ry per atom



No. 2
# PBE SmTmNi2B2C2, relaxed
data_SmTmNi2B2C2
_space_group_name_H-M_alt 'P 4 m m'
_space_group_IT_number 99
_cell_length_a 3.612
_cell_length_b 3.612
_cell_length_c 7.543
_cell_angle_alpha 90.00
_cell_angle_beta 90.00
_cell_angle_gamma 90.00
loop_
_space_group_symop_operation_xyz
'x,y,z'
'-y,x,z'
'-x,-y,z'
'y,-x,z'
'-x,y,z'
'y,x,z'
'x,-y,z'
'-y,-x,z'
loop_
_atom_site_label
_atom_site_type_symbol
_atom_site_fract_x
_atom_site_fract_y
_atom_site_fract_z
_atom_site_occupancy
Sm1 Sm 0.000 0.000 0.000 1
Tm1 Tm 0.500 0.500 0.665 1
Ni1 Ni 0.000 0.500 0.334 1
B1 B 0.000 0.000 0.474 1
B2 B 0.500 0.500 0.184 1
C1 C 0.000 0.000 0.672 1
C2 C 0.500 0.500 0.986 1
# Magnetic moment = 0.00 μB per atom
# Calculated volume = 12.3 A^3/atom
# Final energy = -0.5146 Ry per atom



No. 3
# PBE Sm2YNi2B2C3, relaxed
data_Sm2YNi2B2C3
_space_group_name_H-M_alt 'I 4/m m m'
_space_group_IT_number 139
_space_group_name_Hall '-I 4 2'
_cell_length_a 3.651
_cell_length_b 3.651
_cell_length_c 20.442
_cell_angle_alpha 90.00
_cell_angle_beta 90.00
_cell_angle_gamma 90.00
loop_
_atom_site_label
_atom_site_type_symbol
_atom_site_fract_x
_atom_site_fract_y
_atom_site_fract_z
_atom_site_occupancy
Sm1 Sm 0.000 0.000 0.124 1
Y1 Y 0.000 0.000 0.500 1
Ni1 Ni 0.000 0.500 0.250 1
B1 B 0.000 0.000 0.303 1
C1 C 0.000 0.000 0.000 1
C2 C 0.000 0.000 0.375 1
# Magnetic moment = 0.00 μB per atom
# Calculated volume = 13.6 A^3/atom
# Final energy = -0.5261 Ry per atom



No. 4
# PBE Tb3Ni4B4C3, relaxed
data_Tb3Ni4B4C3
_space_group_name_H-M_alt 'I 4/m m m'
_space_group_IT_number 139
_space_group_name_Hall '-I 4 2'
_cell_length_a 3.598
_cell_length_b 3.598
_cell_length_c 25.314
_cell_angle_alpha 90.00
_cell_angle_beta 90.00
_cell_angle_gamma 90.00
loop_
_atom_site_label
_atom_site_type_symbol
_atom_site_fract_x
_atom_site_fract_y
_atom_site_fract_z
_atom_site_occupancy
Tb1 Tb 0.000 0.000 0.000 1
Tb2 Tb 0.000 0.000 0.300 1
Ni1 Ni 0.000 0.500 0.100 1
B1 B 0.000 0.000 0.144 1
B2 B 0.000 0.000 0.441 1
C1 C 0.000 0.000 0.203 1
C2 C 0.000 0.000 0.500 1
# Magnetic moment = 0.00 μB per atom
# Calculated volume = 11.7 A^3/atom
# Final energy = -0.5129 Ry per atom